Record 1
This record from Alexandria describes a geometry-optimized SrIn2Re structure. The functional is GGA-PBE.

Results
Total magnetic moment: 3.93 μB/cell
E: -4.187 eV/atom

```
data_SrIn2Re
_chemical_formula_sum 'Sr4 In8 Re4'
_symmetry_space_group_name_H-M 'I -4 2 d'
_symmetry_Int_Tables_number 122
_symmetry_space_group_name_Hall 'I -4 2bw'
_cell_length_a 5.348
_cell_length_b 5.348
_cell_length_c 18.203
_cell_angle_alpha 90.00
_cell_angle_beta 90.00
_cell_angle_gamma 90.00
loop_
_atom_site_label
_atom_site_fract_x
_atom_site_fract_y
_atom_site_fract_z
_atom_site_occupancy
Sr1 0.000 0.000 0.000 1
In1 0.091 0.250 0.625 1
Re1 0.000 0.000 0.500 1
```



Record 2
This record from Alexandria describes a geometry-optimized Sr2InRe structure. The functional is GGA-PBE.

Results
Total magnetic moment: 0.00 μB/cell
E: -3.912 eV/atom

```
data_Sr2InRe
_chemical_formula_sum 'Sr4 In2 Re2'
_symmetry_space_group_name_H-M 'C m m m'
_symmetry_Int_Tables_number 65
_symmetry_space_group_name_Hall '-C 2 2'
_cell_length_a 7.070
_cell_length_b 9.654
_cell_length_c 3.117
_cell_angle_alpha 90.00
_cell_angle_beta 90.00
_cell_angle_gamma 90.00
loop_
_atom_site_label
_atom_site_fract_x
_atom_site_fract_y
_atom_site_fract_z
_atom_site_occupancy
Sr1 0.250 0.250 0.000 1
In1 0.000 0.000 0.500 1
Re1 0.000 0.500 0.500 1
```



Record 3
This record from Alexandria describes a geometry-optimized Sr2InRe structure. The functional is GGA-PBE.

Results
Total magnetic moment: 2.85 μB/cell
E: -3.914 eV/atom

```
data_Sr2InRe
_chemical_formula_sum 'Sr4 In2 Re2'
_symmetry_space_group_name_H-M 'I 4/m m m'
_symmetry_Int_Tables_number 139
_symmetry_space_group_name_Hall '-I 4 2'
_cell_length_a 4.943
_cell_length_b 4.943
_cell_length_c 9.106
_cell_angle_alpha 90.00
_cell_angle_beta 90.00
_cell_angle_gamma 90.00
loop_
_atom_site_label
_atom_site_fract_x
_atom_site_fract_y
_atom_site_fract_z
_atom_site_occupancy
Sr1 0.000 0.500 0.250 1
In1 0.000 0.000 0.000 1
Re1 0.000 0.000 0.500 1
```



Record 4
This record from Alexandria describes a geometry-optimized SrIn2Re structure. The functional is GGA-PBE.

Results
Total magnetic moment: 2.53 μB/cell
E: -4.248 eV/atom

```
data_SrIn2Re
_chemical_formula_sum 'Sr2 In4 Re2'
_symmetry_space_group_name_H-M 'I -4 m 2'
_symmetry_Int_Tables_number 119
_symmetry_space_group_name_Hall 'I -4 -2'
_cell_length_a 4.464
_cell_length_b 4.464
_cell_length_c 9.561
_cell_angle_alpha 90.00
_cell_angle_beta 90.00
_cell_angle_gamma 90.00
loop_
_atom_site_label
_atom_site_fract_x
_atom_site_fract_y
_atom_site_fract_z
_atom_site_occupancy
Sr1 0.000 0.000 0.000 1
In1 0.000 0.000 0.500 1
In2 0.000 0.500 0.750 1
Re1 0.000 0.500 0.250 1
```